Crystalline TaTeRu at its relaxed geometry. Source: Alexandria, functional PBE.

Cell lengths 7.450, 4.299, 8.348 Å; angles 90.00, 90.21, 90.00 degrees
Space group C2/m (No. 12)
One atom of each set of equivalent atoms:
Ta 0.167 0.000 0.075 [4 per cell]
Te 0.166 0.000 0.682 [4 per cell]
Ru 0.000 0.500 0.160 [4 per cell]

Calculated values
raw total energy: -99.50 eV for the cell shown
volume: 22.281 Å³ per atom
polymorph energy (0 for the lowest one): 34 meV/atom